1.
Here is a geometry-optimized Na3Li2Bi2 structure from Alexandria. Energies are from PBE.

Values from the calculation:
Relative energy among the computed polymorphs: 0 meV per atom
E: -2.594 eV per atom
Energy of formation from the pure elements: -0.373 eV/atom
Crystal system: monoclinic

CIF file:
```
data_Na3Li2Bi2
_symmetry_space_group_name_H-M 'C 1 2/m 1'
_symmetry_Int_Tables_number 12
_cell_length_a 8.7964
_cell_length_b 5.0889
_cell_length_c 8.3733
_cell_angle_alpha 90.00
_cell_angle_beta 110.71
_cell_angle_gamma 90.00
loop_
_symmetry_equiv_pos_as_xyz
'x,y,z'
'-x,-y,-z'
'-x,y,-z'
'x,-y,z'
'x+1/2,y+1/2,z'
'-x+1/2,-y+1/2,-z'
'-x+1/2,y+1/2,-z'
'x+1/2,-y+1/2,z'
loop_
_atom_site_label
_atom_site_type_symbol
_atom_site_fract_x
_atom_site_fract_y
_atom_site_fract_z
Na1 Na 0.0000 0.0000 0.0000
Na2 Na 0.1434 0.0000 0.4267
Li1 Li 0.2183 0.5000 0.1519
Bi1 Bi 0.0828 0.5000 0.7554
```

---

2.
Here is a geometry-optimized Ac6InCo2 structure from Alexandria. Energies are from PBE.

Values from the calculation:
Relative energy among the computed polymorphs: 109 meV per atom
E: -4.615 eV per atom
Energy of formation from the pure elements: 0.007 eV/atom
Crystal system: orthorhombic

CIF file:
```
data_Ac6InCo2
_symmetry_space_group_name_H-M 'I m m a'
_symmetry_Int_Tables_number 74
_symmetry_space_group_name_Hall '-I 2b 2'
_cell_length_a 10.4223
_cell_length_b 14.3827
_cell_length_c 8.8795
_cell_angle_alpha 90.00
_cell_angle_beta 90.00
_cell_angle_gamma 90.00
loop_
_atom_site_label
_atom_site_type_symbol
_atom_site_fract_x
_atom_site_fract_y
_atom_site_fract_z
Ac1 Ac 0.0000 0.0785 0.1884
Ac2 Ac 0.2033 0.1238 0.5539
In1 In 0.0000 0.2500 0.8539
Co1 Co 0.2500 0.0305 0.2500
```